PBE KAg2Hg, optimized geometry; space-group type = C2/m; total energy = -1.69 eV per atom; offset from the most stable computed form = 0.492 eV per formula unit
1.0
9.792 0.000 0.000
0.000 3.154 0.000
-0.801 0.000 6.839
K Ag Hg
2 4 2
Cartesian
0.000 0.000 0.000 K
4.896 1.577 0.000 K
1.787 0.000 4.624 Ag
2.307 1.577 2.215 Ag
6.683 1.577 4.624 Ag
7.203 0.000 2.215 Ag
-0.401 1.577 3.420 Hg
4.495 0.000 3.420 Hg

=====

PBE KAg2Hg, optimized geometry; space-group type = P4mm; total energy = -1.75 eV per atom; offset from the most stable computed form = 0.250 eV per formula unit
1.0
3.705 0.000 0.000
0.000 3.705 0.000
0.000 0.000 7.699
K Ag Hg
1 2 1
Cartesian
0.000 0.000 0.000 K
0.000 0.000 3.531 Ag
1.852 1.852 2.434 Ag
1.852 1.852 5.347 Hg

=====

PBE K4Ag2Hg, optimized geometry; space-group type = I4/mmm; total energy = -1.39 eV per atom; offset from the most stable computed form = 0.927 eV per formula unit
1.0
6.531 0.000 0.000
0.000 6.531 0.000
0.000 0.000 16.445
K Ag Hg
8 4 2
Cartesian
0.000 0.000 3.501 K
0.000 0.000 12.944 K
0.000 3.266 0.000 K
0.000 3.266 8.222 K
3.266 0.000 0.000 K
3.266 0.000 8.222 K
3.266 3.266 4.722 K
3.266 3.266 11.723 K
0.000 0.000 6.816 Ag
0.000 0.000 9.629 Ag
3.266 3.266 1.406 Ag
3.266 3.266 15.038 Ag
0.000 0.000 0.000 Hg
3.266 3.266 8.222 Hg